Entry from Alexandria: an optimized crystal structure of NdHo2Tm (GGA-PBE).

Values from the calculation:
Calculated density   8.39 g cm⁻³
Space-group type   No. 160
ΔE to the lowest computed polymorph   0.0080 eV/atom
Magnetization   0.00 μB per formula unit

extended XYZ file:
```
4
Lattice="3.5743 0.0000 0.0000 1.7872 3.0954 0.0000 1.7872 1.0318 11.5014" Properties=species:S:1:pos:R:3 pbc="T T T"
Nd 3.5743 2.0636 5.7336
Ho 1.7872 1.0318 8.6988
Ho 1.7872 1.0318 2.8101
Tm 3.5743 2.0636 0.0097
```



Entry from Alexandria: an optimized crystal structure of Nd7Ho4Tm (GGA-PBE).

Values from the calculation:
Calculated density   7.61 g cm⁻³
Space-group type   No. 2
ΔE to the lowest computed polymorph   0.0000 eV/atom
Magnetization   0.00 μB per formula unit

extended XYZ file:
```
12
Lattice="6.4849 -1.7969 2.7708 0.6662 5.8677 2.2381 2.8476 -2.2522 10.9701" Properties=species:S:1:pos:R:3 pbc="T T T"
Nd 5.1794 1.5975 3.2079
Nd 4.8194 0.2211 12.7711
Nd 2.6215 -0.0101 8.1647
Nd 7.3772 1.8288 7.8144
Nd 4.5846 2.4697 9.9693
Nd 3.2424 -0.8985 1.3854
Nd 5.4142 -0.6510 6.0097
Ho 4.1213 2.7463 6.4122
Ho 5.8775 -0.9277 9.5669
Ho 7.8289 1.5756 11.3473
Ho 2.1698 0.2431 4.6317
Tm 0.0000 0.0000 0.0000
```



Entry from Alexandria: an optimized crystal structure of Nd6Ho3Tm2 (GGA-PBE).

Values from the calculation:
Calculated density   7.65 g cm⁻³
Space-group type   No. 2
ΔE to the lowest computed polymorph   0.0000 eV/atom
Magnetization   0.00 μB per formula unit

extended XYZ file:
```
11
Lattice="-3.3907 -5.7946 1.1923 5.9605 0.5687 -3.2038 1.1033 -6.6515 9.9298" Properties=species:S:1:pos:R:3 pbc="T T T"
Nd 3.6421 -1.0297 -0.9315
Nd -0.6728 -4.4576 3.0368
Nd 0.0310 -10.8478 8.8499
Nd 4.3459 -7.4198 4.8816
Nd 2.6827 -4.3442 4.2054
Nd 0.9904 -7.5333 3.7130
Ho 0.0000 0.0000 0.0000
Ho 0.1311 -5.4339 6.5004
Ho 3.5420 -6.4435 1.4180
Tm 1.9223 -8.5005 7.1539
Tm 1.7508 -3.3769 0.7644
```